# Gd2ScTe

Gd2ScTe after structural relaxation (PBE, Alexandria via LeMat-Bulk).

```
data_Gd2ScTe
_cell_length_a 3.937
_cell_length_b 3.937
_cell_length_c 7.235
_cell_angle_alpha 90.00
_cell_angle_beta 90.00
_cell_angle_gamma 90.00
_symmetry_space_group_name_H-M 'P 4/m m m'
_symmetry_Int_Tables_number 123
_symmetry_space_group_name_Hall '-P 4 2'
loop_
_atom_site_label
_atom_site_type_symbol
_atom_site_fract_x
_atom_site_fract_y
_atom_site_fract_z
Gd1 Gd 0.000 0.000 0.240
Sc1 Sc 0.500 0.500 0.500
Te1 Te 0.500 0.500 0.000
```

For the formation energy from raw total energies, the calculation gives -0.582 eV per atom. Its crystal system is tetragonal. The magnetic moment comes out at 3.73 μB per atom. Its total DFT energy (no corrections) is -9.991 eV per atom.

# Nd5MgSb2

Nd5MgSb2 after structural relaxation (PBE, Alexandria via LeMat-Bulk).

```
data_Nd5MgSb2
_cell_length_a 5.743
_cell_length_b 12.048
_cell_length_c 15.260
_cell_angle_alpha 90.00
_cell_angle_beta 90.00
_cell_angle_gamma 90.00
_symmetry_space_group_name_H-M 'C m c m'
_symmetry_Int_Tables_number 63
_symmetry_space_group_name_Hall '-C 2c 2'
loop_
_atom_site_label
_atom_site_type_symbol
_atom_site_fract_x
_atom_site_fract_y
_atom_site_fract_z
Nd1 Nd 0.000 0.070 0.100
Nd2 Nd 0.000 0.375 0.048
Nd3 Nd 0.000 0.394 0.750
Mg1 Mg 0.000 0.304 0.250
Sb1 Sb 0.000 0.199 0.611
```

For the formation energy from raw total energies, the calculation gives -0.341 eV per atom. Its crystal system is orthorhombic. The magnetic moment comes out at 0.00 μB per atom. Its total DFT energy (no corrections) is -4.551 eV per atom.

# AlH4Pd12

AlH4Pd12 after structural relaxation (PBE, Alexandria via LeMat-Bulk).

```
data_AlH4Pd12
_cell_length_a 7.556
_cell_length_b 7.556
_cell_length_c 7.556
_cell_angle_alpha 90.00
_cell_angle_beta 90.00
_cell_angle_gamma 90.00
_symmetry_space_group_name_H-M 'I m -3'
_symmetry_Int_Tables_number 204
_symmetry_space_group_name_Hall '-I 2 2 3'
loop_
_atom_site_label
_atom_site_type_symbol
_atom_site_fract_x
_atom_site_fract_y
_atom_site_fract_z
Al1 Al 0.000 0.000 0.000
H1 H 0.250 0.250 0.250
Pd1 Pd 0.000 0.183 0.306
```

Its crystal system is cubic. The magnetic moment comes out at 0.00 μB per atom. Its total DFT energy (no corrections) is -4.805 eV per atom.

# Rb2TiInCl6

Rb2TiInCl6 after structural relaxation (PBE, Alexandria via LeMat-Bulk).

```
data_Rb2TiInCl6
_cell_length_a 10.891
_cell_length_b 10.891
_cell_length_c 10.891
_cell_angle_alpha 90.00
_cell_angle_beta 90.00
_cell_angle_gamma 90.00
_symmetry_space_group_name_H-M 'F m -3 m'
_symmetry_Int_Tables_number 225
_symmetry_space_group_name_Hall '-F 4 2 3'
loop_
_atom_site_label
_atom_site_type_symbol
_atom_site_fract_x
_atom_site_fract_y
_atom_site_fract_z
Rb1 Rb 0.250 0.250 0.250
Ti1 Ti 0.000 0.000 0.000
In1 In 0.000 0.000 0.500
Cl1 Cl 0.000 0.000 0.224
```

For the formation energy from raw total energies, the calculation gives -1.577 eV per atom. Its crystal system is cubic. The magnetic moment comes out at 0.10 μB per atom. For the excess energy over the best structure of this formula in the dataset, the calculation gives 0.025 eV per atom. Its total DFT energy (no corrections) is -3.942 eV per atom.

# PrGd2Bi

PrGd2Bi after structural relaxation (PBE, Alexandria via LeMat-Bulk).

```
data_PrGd2Bi
_cell_length_a 3.5942
_cell_length_b 3.5942
_cell_length_c 36.7404
_cell_angle_alpha 90.00
_cell_angle_beta 90.00
_cell_angle_gamma 120.00
_symmetry_space_group_name_H-M 'R -3 m'
_symmetry_Int_Tables_number 166
_symmetry_space_group_name_Hall '-R 3 2"'
loop_
_atom_site_label
_atom_site_type_symbol
_atom_site_fract_x
_atom_site_fract_y
_atom_site_fract_z
Pr1 Pr 0.0000 0.0000 0.0000
Gd1 Gd 0.0000 0.0000 0.4135
Bi1 Bi 0.0000 0.0000 0.5000
```

Its crystal system is trigonal. The magnetic moment comes out at 3.61 μB per atom. For the excess energy over the best structure of this formula in the dataset, the calculation gives 0.430 eV per atom. Its total DFT energy (no corrections) is -9.192 eV per atom. As for the formation energy: 0.014 eV/atom.

# Tb2ScMn

Tb2ScMn after structural relaxation (PBE, Alexandria via LeMat-Bulk).

```
data_Tb2ScMn
_cell_length_a 3.3141
_cell_length_b 3.3141
_cell_length_c 32.7204
_cell_angle_alpha 90.00
_cell_angle_beta 90.00
_cell_angle_gamma 120.00
_symmetry_space_group_name_H-M 'R -3 m'
_symmetry_Int_Tables_number 166
_symmetry_space_group_name_Hall '-R 3 2"'
loop_
_atom_site_label
_atom_site_type_symbol
_atom_site_fract_x
_atom_site_fract_y
_atom_site_fract_z
Tb1 Tb 0.0000 0.0000 0.0966
Sc1 Sc 0.0000 0.0000 0.0000
Mn1 Mn 0.0000 0.0000 0.5000
```

Its crystal system is trigonal. The magnetic moment comes out at 0.55 μB per atom. For the excess energy over the best structure of this formula in the dataset, the calculation gives 0.280 eV per atom. Its total DFT energy (no corrections) is -5.770 eV per atom. As for the formation energy: 0.421 eV/atom.

# CePuTl

CePuTl after structural relaxation (PBE, Alexandria via LeMat-Bulk).

```
data_CePuTl
_cell_length_a 3.373
_cell_length_b 5.922
_cell_length_c 16.804
_cell_angle_alpha 90.00
_cell_angle_beta 90.00
_cell_angle_gamma 90.00
_symmetry_space_group_name_H-M 'I m m m'
_symmetry_Int_Tables_number 71
_symmetry_space_group_name_Hall '-I 2 2'
loop_
_atom_site_label
_atom_site_type_symbol
_atom_site_fract_x
_atom_site_fract_y
_atom_site_fract_z
Ce1 Ce 0.000 0.000 0.159
Pu1 Pu 0.000 0.248 0.000
Tl1 Tl 0.000 0.000 0.352
```

Its crystal system is orthorhombic. The magnetic moment comes out at 2.16 μB per atom. For the excess energy over the best structure of this formula in the dataset, the calculation gives 0.138 eV per atom. Its total DFT energy (no corrections) is -7.480 eV per atom. As for the formation energy: 0.064 eV/atom.

# Tl2Ge2I

Tl2Ge2I after structural relaxation (PBE, Alexandria via LeMat-Bulk).

```
data_Tl2Ge2I
_cell_length_a 5.376
_cell_length_b 5.376
_cell_length_c 10.221
_cell_angle_alpha 90.00
_cell_angle_beta 90.00
_cell_angle_gamma 90.00
_symmetry_space_group_name_H-M 'I 4/m m m'
_symmetry_Int_Tables_number 139
_symmetry_space_group_name_Hall '-I 4 2'
loop_
_atom_site_label
_atom_site_type_symbol
_atom_site_fract_x
_atom_site_fract_y
_atom_site_fract_z
Tl1 Tl 0.000 0.500 0.250
Ge1 Ge 0.000 0.000 0.121
I1 I 0.000 0.000 0.500
```

For the formation energy from raw total energies, the calculation gives 0.179 eV per atom. Its crystal system is tetragonal. The magnetic moment comes out at 0.00 μB per atom. For the excess energy over the best structure of this formula in the dataset, the calculation gives 0.154 eV per atom. Its total DFT energy (no corrections) is -2.924 eV per atom.

What did the fifth record say?
# PrGd2Bi

PrGd2Bi after structural relaxation (PBE, Alexandria via LeMat-Bulk).

```
data_PrGd2Bi
_cell_length_a 3.5942
_cell_length_b 3.5942
_cell_length_c 36.7404
_cell_angle_alpha 90.00
_cell_angle_beta 90.00
_cell_angle_gamma 120.00
_symmetry_space_group_name_H-M 'R -3 m'
_symmetry_Int_Tables_number 166
_symmetry_space_group_name_Hall '-R 3 2"'
loop_
_atom_site_label
_atom_site_type_symbol
_atom_site_fract_x
_atom_site_fract_y
_atom_site_fract_z
Pr1 Pr 0.0000 0.0000 0.0000
Gd1 Gd 0.0000 0.0000 0.4135
Bi1 Bi 0.0000 0.0000 0.5000
```

Its crystal system is trigonal. The magnetic moment comes out at 3.61 μB per atom. For the excess energy over the best structure of this formula in the dataset, the calculation gives 0.430 eV per atom. Its total DFT energy (no corrections) is -9.192 eV per atom. As for the formation energy: 0.014 eV/atom.

Question: Among the records above, which one has the highest total DFT energy (no corrections)?
Answer: Tl2Ge2I